Below is a relaxed SrIn2GaAu5 crystal, with properties calculated at the PBE level.

Unit cell a=4.9468 b=6.0866 c=8.2914 alpha=111.53 beta=107.36 gamma=90.00
Closest atoms and distances in Å follow each position.
Element x y z (fractional)
Sr (0.0000, 0.5000, 0.0000)  2 Au 3.04
In (0.1928, 0.1928, 0.3856)  7 Au 2.80-3.04
In (0.8072, 0.8072, 0.6144)  7 Au 2.80-3.04
Ga (0.5000, 0.0000, 0.0000)  6 Au 2.47-2.64
Au (0.6430, 0.8790, 0.2859)  1 Ga 2.64, 1 In 2.80, 1 Au 2.87
Au (0.3570, 0.1210, 0.7141)  1 Ga 2.64, 1 In 2.80, 1 Au 2.87
Au (0.3570, 0.5931, 0.7141)  1 Ga 2.64, 1 In 2.80, 1 Au 2.87
Au (0.6430, 0.4069, 0.2859)  1 Ga 2.64, 1 In 2.80, 1 Au 2.87
Au (0.0000, 0.0000, 0.0000)  2 Ga 2.47

Energy of formation in meV per atom: -286
Magnetization in μB/f.u.: 0.0

***

Below is a relaxed PrDy2Bi2 crystal, with properties calculated at the PBE level.

Unit cell a=4.5753 b=4.5753 c=8.2914 alpha=73.92 beta=73.92 gamma=90.16
Closest atoms and distances in Å follow each position.
Element x y z (fractional)
Pr (0.0000, 0.0000, 0.0000)  8 Bi 3.59-3.61
Dy (0.2496, 0.7504, 0.5000)  4 Bi 3.19, 4 Dy 3.23-3.25
Dy (0.7504, 0.2496, 0.5000)  4 Bi 3.19, 4 Dy 3.23-3.25
Bi (0.3970, 0.3970, 0.2085)  1 Bi 3.18, 4 Dy 3.19
Bi (0.6030, 0.6030, 0.7915)  1 Bi 3.18, 4 Dy 3.19

Energy of formation in meV per atom: -493
Magnetization in μB/f.u.: 0.0

***

Below is a relaxed RbSc3Ir crystal, with properties calculated at the PBE level.

Unit cell a=5.2440 b=5.2440 c=5.2440 alpha=90.00 beta=90.00 gamma=90.00
Closest atoms and distances in Å follow each position.
Element x y z (fractional)
Sc (0.0000, 0.5000, 0.0000)  2 Ir 2.62
Sc (0.0000, 0.0000, 0.5000)  2 Ir 2.62
Sc (0.5000, 0.0000, 0.0000)  2 Ir 2.62
Ir (0.0000, 0.0000, 0.0000)  6 Sc 2.62
Rb (0.5000, 0.5000, 0.5000)  12 Sc 3.71

Energy of formation in meV per atom: -62
Offset from the most stable computed form in meV per atom: 0
Magnetization in μB/f.u.: 0.0

***

Below is a relaxed Al2FeNi crystal, with properties calculated at the PBE level.

Unit cell a=4.0186 b=4.0195 c=2.9323 alpha=90.00 beta=90.00 gamma=90.00
Closest atoms and distances in Å follow each position.
Element x y z (fractional)
Ni (0.0000, 0.5000, 0.5000)  8 Al 2.49
Fe (0.5000, 0.0000, 0.5000)  8 Al 2.49
Al (0.0000, 0.0000, 0.0000)  4 Fe 2.49, 4 Ni 2.49
Al (0.5000, 0.5000, 0.0000)  4 Ni 2.49, 4 Fe 2.49

Energy of formation in meV per atom: -534
Magnetization in μB/f.u.: 0.0